[1]
VASP calculation (GGA-PBE) on an optimized crystal structure of TaCdS.

Cell and atoms, written as POSCAR:
```
TaCdS
1.0
-1.2627 2.6871 0.8708
-2.7315 -1.4046 0.3733
2.9282 -2.5089 11.9875
S Cd Ta
2 2 2
direct
0.5000 0.0000 0.3623
0.0000 0.5000 0.6377
0.5000 0.0000 0.0910
0.0000 0.5000 0.9090
0.5000 0.0000 0.7361
0.0000 0.5000 0.2639
```

Calculated values
Density = 9.0 g/cm3
Total moment = 0.000 μB per formula unit
Density of states at the Fermi level = 3.6 states/eV per cell
DFT total energy = -5.986 eV per atom
Energy relative to the elements, uncorrected = -1.1 eV per formula unit

[2]
VASP calculation (GGA-PBE) on an optimized crystal structure of Ta3CdS.

Cell and atoms, written as POSCAR:
```
Ta3CdS
1.0
-3.4100 -1.7748 -2.5059
0.5060 -4.0183 2.1574
-3.0288 1.3268 3.1817
Ta S Cd
3 1 1
direct
0.0000 0.5000 0.0000
0.0000 0.0000 0.5000
0.5000 0.0000 0.0000
0.0000 0.0000 0.0000
0.5000 0.5000 0.5000
```

Calculated values
Density = 11.8 g/cm3
Total moment = 0.000 μB per formula unit
Density of states at the Fermi level = 6.2 states/eV per cell
DFT total energy = -7.750 eV per atom
Offset from the most stable computed form = 0 meV per atom
Energy relative to the elements, uncorrected = 1.8 eV per formula unit

[3]
VASP calculation (GGA-PBE) on an optimized crystal structure of TaCdS3.

Cell and atoms, written as POSCAR:
```
TaCdS3
1.0
4.8112 0.0000 0.0000
0.0000 4.8112 0.0000
0.0000 0.0000 4.8112
S Cd Ta
3 1 1
direct
0.5000 0.0000 0.0000
0.0000 0.0000 0.5000
0.0000 0.5000 0.0000
0.5000 0.5000 0.5000
0.0000 0.0000 0.0000
```

Calculated values
Density = 5.8 g/cm3
Total moment = 0.000 μB per formula unit
Density of states at the Fermi level = 2.7 states/eV per cell
DFT total energy = -5.396 eV per atom
Offset from the most stable computed form = 0 meV per atom
Energy relative to the elements, uncorrected = -1.8 eV per formula unit